Entry from Alexandria: crystalline LiTb2Ni at its relaxed geometry (PBE).

Results
* DFT formation energy: -0.59 eV per formula unit
* V: 22.94 A^3/atom

Lattice parameters (Å, degrees): 3.460 3.460 7.665 90.00 90.00 90.00
Positions (direct):
Li: 0.500 0.500 0.500
Ni: 0.500 0.500 0.000
Tb: 0.000 0.000 0.792
Tb: 0.000 0.000 0.208

***

Entry from Alexandria: crystalline Ac2Ho3Er8 at its relaxed geometry (PBE).

Results
* DFT formation energy: 3.17 eV per formula unit
* V: 34.80 A^3/atom

Lattice parameters (Å, degrees): 5.418 11.493 11.493 39.20 90.01 90.01
Positions (direct):
Ho: 0.000 0.708 0.292
Ho: 0.500 0.000 0.000
Ho: 0.000 0.292 0.708
Er: 0.000 0.117 0.117
Er: 0.000 0.651 0.651
Er: 0.500 0.611 0.184
Er: 0.500 0.184 0.611
Er: 0.000 0.883 0.883
Er: 0.500 0.816 0.389
Er: 0.500 0.389 0.816
Er: 0.000 0.349 0.349
Ac: 0.500 0.761 0.761
Ac: 0.500 0.239 0.239

***

Entry from Alexandria: crystalline BePdI at its relaxed geometry (PBE).

Results
* E_form (uncorrected): 12.7 kJ per mole of atoms
* V: 20.87 A^3/atom
* offset from the most stable computed form: 42.89 kJ per mole of atoms

Lattice parameters (Å, degrees): 5.558 3.614 6.234 90.00 90.74 90.00
Positions (direct):
Be: 0.182 0.500 0.285
Be: 0.182 0.000 0.785
Pd: 0.984 0.500 0.949
Pd: 0.984 0.000 0.449
I: 0.480 0.500 0.951
I: 0.480 0.000 0.451

***

Entry from Alexandria: crystalline LiPrCuPd2 at its relaxed geometry (PBE).

Results
* DFT formation energy: -2.37 eV per formula unit
* V: 18.86 A^3/atom

Lattice parameters (Å, degrees): 3.958 3.958 6.638 107.34 107.34 90.00
Positions (direct):
Li: 0.750 0.250 0.500
Cu: 0.250 0.750 0.500
Pd: 0.388 0.388 0.775
Pd: 0.612 0.612 0.225
Pr: 0.000 0.000 0.000

***

Entry from Alexandria: crystalline NdH4C3O8 at its relaxed geometry (PBE).

Results
* V: 11.11 A^3/atom

Lattice parameters (Å, degrees): 8.722 9.519 17.130 90.00 90.00 90.00
Positions (direct):
Nd: 0.871 0.257 0.142
Nd: 0.629 0.743 0.642
Nd: 0.630 0.264 0.362
Nd: 0.370 0.764 0.138
Nd: 0.870 0.736 0.862
Nd: 0.129 0.757 0.358
Nd: 0.371 0.243 0.858
Nd: 0.130 0.236 0.638
C: 0.635 0.519 0.106
C: 0.054 0.435 0.883
C: 0.585 0.957 0.812
C: 0.865 0.481 0.606
C: 0.414 0.986 0.309
C: 0.914 0.514 0.691
C: 0.085 0.543 0.188
C: 0.446 0.565 0.383
C: 0.360 0.507 0.606
C: 0.640 0.007 0.894
C: 0.860 0.993 0.394
C: 0.086 0.014 0.809
C: 0.182 0.543 0.864
C: 0.554 0.065 0.117
C: 0.586 0.486 0.191
C: 0.915 0.043 0.312
C: 0.135 0.981 0.894
C: 0.682 0.957 0.136
C: 0.415 0.457 0.688
C: 0.318 0.457 0.364
C: 0.365 0.019 0.394
C: 0.140 0.493 0.106
C: 0.818 0.043 0.636
C: 0.946 0.935 0.617
O: 0.372 0.843 0.676
O: 0.128 0.185 0.496
O: 0.928 0.889 0.423
O: 0.519 0.062 0.282
O: 0.903 0.809 0.604
O: 0.843 0.613 0.726
O: 0.859 0.168 0.650
O: 0.056 0.894 0.932
O: 0.591 0.824 0.507
O: 0.755 0.459 0.079
O: 0.072 0.389 0.077
O: 0.180 0.500 0.366
O: 0.909 0.176 0.007
O: 0.680 0.000 0.634
O: 0.249 0.442 0.574
O: 0.641 0.832 0.150
O: 0.944 0.394 0.568
O: 0.751 0.942 0.926
O: 0.320 0.500 0.866
O: 0.582 0.520 0.387
O: 0.359 0.332 0.350
O: 0.082 0.980 0.613
O: 0.157 0.113 0.774
O: 0.409 0.324 0.993
O: 0.112 0.865 0.097
O: 0.141 0.668 0.850
O: 0.428 0.611 0.577
O: 0.978 0.473 0.218
O: 0.151 0.651 0.218
O: 0.918 0.480 0.887
O: 0.981 0.938 0.782
O: 0.556 0.606 0.068
O: 0.651 0.849 0.782
O: 0.572 0.111 0.923
O: 0.372 0.815 0.996
O: 0.388 0.135 0.597
O: 0.872 0.657 0.324
O: 0.612 0.635 0.903
O: 0.888 0.365 0.403
O: 0.657 0.387 0.226
O: 0.522 0.527 0.718
O: 0.403 0.691 0.396
O: 0.628 0.315 0.504
O: 0.019 0.438 0.718
O: 0.478 0.027 0.782
O: 0.597 0.191 0.104
O: 0.251 0.558 0.074
O: 0.849 0.151 0.282
O: 0.097 0.309 0.896
O: 0.418 0.020 0.113
O: 0.128 0.157 0.176
O: 0.820 0.000 0.134
O: 0.091 0.676 0.493
O: 0.343 0.887 0.274
O: 0.349 0.349 0.718
O: 0.444 0.106 0.432
O: 0.245 0.959 0.421
O: 0.481 0.562 0.218
O: 0.022 0.973 0.282
O: 0.628 0.343 0.824
O: 0.255 0.041 0.921
O: 0.749 0.058 0.426
O: 0.745 0.541 0.579
O: 0.872 0.685 0.004
H: 0.676 0.248 0.539
H: 0.339 0.909 0.978
H: 0.906 0.378 0.460
H: 0.324 0.748 0.961
H: 0.839 0.591 0.023
H: 0.594 0.622 0.960
H: 0.983 0.398 0.378
H: 0.161 0.091 0.477
H: 0.145 0.597 0.517
H: 0.661 0.409 0.522
H: 0.612 0.421 0.787
H: 0.824 0.752 0.039
H: 0.215 0.131 0.142
H: 0.785 0.631 0.358
H: 0.388 0.921 0.713
H: 0.645 0.903 0.483
H: 0.471 0.276 0.033
H: 0.094 0.878 0.040
H: 0.029 0.724 0.533
H: 0.715 0.369 0.858
H: 0.176 0.252 0.461
H: 0.971 0.224 0.967
H: 0.406 0.122 0.540
H: 0.112 0.079 0.213
H: 0.888 0.579 0.287
H: 0.855 0.097 0.983
H: 0.355 0.403 0.017
H: 0.285 0.869 0.642
H: 0.517 0.602 0.878
H: 0.483 0.102 0.622
H: 0.529 0.776 0.467
H: 0.017 0.898 0.122

***

Entry from Alexandria: crystalline BaMoCl at its relaxed geometry (PBE).

Results
* E_form (uncorrected): 66.2 kJ per mole of atoms
* V: 43.42 A^3/atom
* offset from the most stable computed form: 127.27 kJ per mole of atoms

Lattice parameters (Å, degrees): 5.690 5.690 5.690 60.00 60.00 60.00
Positions (direct):
Cl: 0.000 0.000 0.000
Mo: 0.500 0.500 0.500
Ba: 0.750 0.750 0.750

***

Entry from Alexandria: crystalline CaPu5Ge6 at its relaxed geometry (PBE).

Results
* DFT formation energy: -4.67 eV per formula unit
* V: 22.24 A^3/atom

Lattice parameters (Å, degrees): 9.398 4.677 7.384 71.48 80.90 60.15
Positions (direct):
Ge: 0.251 0.584 0.330
Ge: 0.251 0.914 0.670
Ge: 0.749 0.416 0.670
Ge: 0.250 0.250 0.000
Ge: 0.749 0.086 0.330
Ge: 0.750 0.750 0.000
Pu: 0.000 0.328 0.344
Pu: 0.500 0.169 0.663
Pu: 0.000 0.672 0.656
Pu: 0.500 0.500 0.000
Pu: 0.500 0.831 0.337
Ca: 0.000 0.000 0.000

***

Entry from Alexandria: crystalline AlZn2Cl at its relaxed geometry (PBE).

Results
* E_form (uncorrected): -6.5 kJ per mole of atoms
* V: 21.39 A^3/atom
* offset from the most stable computed form: 7.51 kJ per mole of atoms

Lattice parameters (Å, degrees): 3.160 3.160 10.033 90.00 90.00 121.34
Positions (direct):
Cl: 0.500 0.500 0.667
Al: 0.000 0.000 0.489
Zn: 0.500 0.500 0.279
Zn: 0.000 0.000 0.064

***

Number 1: total energy -4.386 eV/atom. Number 2: total energy -4.252 eV/atom. Number 3: total energy -3.358 eV/atom. Number 4: total energy -4.709 eV/atom. Number 5: total energy -6.860 eV/atom. Number 6: total energy -4.180 eV/atom. Number 7: total energy -8.836 eV/atom. Number 8: total energy -2.101 eV/atom.